# Fe3P4O14 GGA+U optimized geometry
data_Fe3P4O14
_cell_length_a 5.700
_cell_length_b 6.966
_cell_length_c 7.675
_cell_angle_alpha 83.34
_cell_angle_beta 77.39
_cell_angle_gamma 74.67
_symmetry_space_group_name_H-M 'P 1'
_symmetry_Int_Tables_number 1
loop_
_symmetry_equiv_pos_as_xyz
'x,y,z'
loop_
_atom_site_label
_atom_site_fract_x
_atom_site_fract_y
_atom_site_fract_z
_atom_site_occupancy
P1 0.233 0.692 0.681 1
O1 0.892 0.162 0.181 1
P2 0.346 0.307 0.919 1
O2 0.371 0.689 0.194 1
O3 0.539 0.329 0.419 1
P3 0.638 0.686 0.093 1
Fe1 0.900 0.061 0.949 1
Fe2 0.247 0.469 0.328 1
O4 0.323 0.309 0.120 1
O5 0.977 0.310 0.449 1
O6 0.186 0.192 0.859 1
O7 0.495 0.698 0.594 1
O8 0.099 0.613 0.556 1
O9 0.818 0.539 0.220 1
Fe3 0.791 0.490 0.675 1
O10 0.628 0.239 0.830 1
O11 0.706 0.593 0.916 1
O12 0.061 0.882 0.760 1
O13 0.246 0.534 0.854 1
P4 0.804 0.319 0.316 1
O14 0.699 0.887 0.087 1
# Total magnetic moment (Bohr magnetons per cell): 14.0
# E above lowest polymorph (eV/atom): 0.074
# E_tot (eV per atom): -7.09